[1]
Computed, not measured: PmThSc2 after structural relaxation at the PBE level of DFT.

For the density of states at the Fermi level, the calculation gives 4.98 states/eV/cell. The offset from the most stable computed form is 22 meV per atom. The value obtained for the energy of formation from the pure elements is 0.0451 eV per atom. The calculation puts the calculated volume at 114.3 Å³/f.u. As for the crystal system: tetragonal.

```
data_PmThSc2
_symmetry_space_group_name_H-M 'P 4/m m m'
_symmetry_Int_Tables_number 123
_symmetry_space_group_name_Hall '-P 4 2'
_cell_length_a 5.003
_cell_length_b 5.003
_cell_length_c 4.565
_cell_angle_alpha 90.00
_cell_angle_beta 90.00
_cell_angle_gamma 90.00
loop_
_atom_site_label
_atom_site_fract_x
_atom_site_fract_y
_atom_site_fract_z
_atom_site_occupancy
Pm1 0.000 0.000 0.000 1
Th1 0.500 0.500 0.000 1
Sc1 0.000 0.500 0.500 1
```


[2]
Computed, not measured: La6RuRhPb2 after structural relaxation at the PBE level of DFT.

For the density of states at the Fermi level, the calculation gives 13.44 states/eV/cell. The value obtained for the energy of formation from the pure elements is -0.4860 eV per atom. The calculation puts the calculated volume at 333.7 Å³/f.u. As for the crystal system: monoclinic.

```
data_La6RuRhPb2
_symmetry_space_group_name_H-M 'C 1 m 1'
_symmetry_Int_Tables_number 8
_cell_length_a 10.986
_cell_length_b 11.017
_cell_length_c 7.776
_cell_angle_alpha 90.00
_cell_angle_beta 134.84
_cell_angle_gamma 90.00
loop_
_symmetry_equiv_pos_as_xyz
'x,y,z'
'x,-y,z'
'x+1/2,y+1/2,z'
'x+1/2,-y+1/2,z'
loop_
_atom_site_label
_atom_site_fract_x
_atom_site_fract_y
_atom_site_fract_z
_atom_site_occupancy
La1 0.000 0.000 0.000 1
La2 0.000 0.000 0.497 1
La3 0.003 0.500 0.504 1
La4 0.004 0.500 0.001 1
La5 0.252 0.252 0.001 1
Ru1 0.253 0.500 0.001 1
Rh1 0.252 0.000 0.001 1
Pb1 0.252 0.250 0.501 1
```


[3]
Computed, not measured: Tm4TlCu2 after structural relaxation at the PBE level of DFT.

For the density of states at the Fermi level, the calculation gives 28.24 states/eV/cell. The offset from the most stable computed form is 103 meV per atom. The value obtained for the energy of formation from the pure elements is -0.0296 eV per atom. The calculation puts the calculated volume at 179.9 Å³/f.u. As for the crystal system: trigonal.

```
data_Tm4TlCu2
_symmetry_space_group_name_H-M 'R -3 m'
_symmetry_Int_Tables_number 166
_symmetry_space_group_name_Hall '-R 3 2"'
_cell_length_a 4.7841
_cell_length_b 4.7841
_cell_length_c 27.2336
_cell_angle_alpha 90.00
_cell_angle_beta 90.00
_cell_angle_gamma 120.00
loop_
_atom_site_label
_atom_site_fract_x
_atom_site_fract_y
_atom_site_fract_z
_atom_site_occupancy
Tm1 0.0000 0.0000 0.1142 1
Tm2 0.0000 0.0000 0.2978 1
Tl1 0.0000 0.0000 0.5000 1
Cu1 0.0000 0.0000 0.4001 1
```


[4]
Computed, not measured: Pu2Mg2NiGe4 after structural relaxation at the PBE level of DFT.

For the density of states at the Fermi level, the calculation gives 42.35 states/eV/cell. The value obtained for the energy of formation from the pure elements is -0.3204 eV per atom. The calculation puts the calculated volume at 175.3 Å³/f.u. As for the crystal system: tetragonal.

```
data_Pu2Mg2NiGe4
_symmetry_space_group_name_H-M 'I 4/m m m'
_symmetry_Int_Tables_number 139
_symmetry_space_group_name_Hall '-I 4 2'
_cell_length_a 6.449
_cell_length_b 6.449
_cell_length_c 8.431
_cell_angle_alpha 90.00
_cell_angle_beta 90.00
_cell_angle_gamma 90.00
loop_
_atom_site_label
_atom_site_fract_x
_atom_site_fract_y
_atom_site_fract_z
_atom_site_occupancy
Pu1 0.000 0.500 0.250 1
Mg1 0.000 0.000 0.207 1
Ni1 0.000 0.000 0.500 1
Ge1 0.241 0.241 0.000 1
```


[5]
Computed, not measured: NaTlC after structural relaxation at the PBE level of DFT.

For the density of states at the Fermi level, the calculation gives 0.73 states/eV/cell. The value obtained for the energy of formation from the pure elements is 0.3636 eV per atom. The calculation puts the calculated volume at 69.2 Å³/f.u. As for the crystal system: triclinic.

```
data_NaTlC
_symmetry_space_group_name_H-M 'P -1'
_symmetry_Int_Tables_number 2
_cell_length_a 4.720
_cell_length_b 5.491
_cell_length_c 6.586
_cell_angle_alpha 113.59
_cell_angle_beta 90.21
_cell_angle_gamma 115.15
loop_
_symmetry_equiv_pos_as_xyz
'x,y,z'
'-x,-y,-z'
loop_
_atom_site_label
_atom_site_fract_x
_atom_site_fract_y
_atom_site_fract_z
_atom_site_occupancy
Na1 0.129 0.258 0.359 1
Tl1 0.353 0.708 0.022 1
C1 0.433 0.871 0.499 1
```


[6]
Computed, not measured: Zn3CdBr after structural relaxation at the PBE level of DFT.

For the density of states at the Fermi level, the calculation gives 4.22 states/eV/cell. The offset from the most stable computed form is 426 meV per atom. For the energy relative to the elements, uncorrected, the calculation gives 0.61 eV per atom. The calculation puts the calculated volume at 188.4 Å³/f.u. As for the crystal system: cubic.

```
data_Zn3CdBr
_symmetry_space_group_name_H-M 'P m -3 m'
_symmetry_Int_Tables_number 221
_symmetry_space_group_name_Hall '-P 4 2 3'
_cell_length_a 5.732
_cell_length_b 5.732
_cell_length_c 5.732
_cell_angle_alpha 90.00
_cell_angle_beta 90.00
_cell_angle_gamma 90.00
loop_
_atom_site_label
_atom_site_fract_x
_atom_site_fract_y
_atom_site_fract_z
_atom_site_occupancy
Zn1 0.000 0.000 0.500 1
Cd1 0.500 0.500 0.500 1
Br1 0.000 0.000 0.000 1
```


[7]
Computed, not measured: KSi2Sn after structural relaxation at the PBE level of DFT.

For the density of states at the Fermi level, the calculation gives 7.70 states/eV/cell. For the energy relative to the elements, uncorrected, the calculation gives 0.31 eV per atom. The calculation puts the calculated volume at 121.2 Å³/f.u. As for the crystal system: tetragonal.

```
data_KSi2Sn
_symmetry_space_group_name_H-M 'I 41/a m d'
_symmetry_Int_Tables_number 141
_cell_length_a 5.037
_cell_length_b 5.037
_cell_length_c 19.103
_cell_angle_alpha 90.00
_cell_angle_beta 90.00
_cell_angle_gamma 90.00
loop_
_symmetry_equiv_pos_as_xyz
'x,y,z'
'-x,-y,-z'
'-y+1/4,x+3/4,z+1/4'
'y+1/4,-x+3/4,-z+1/4'
'-x+1/2,-y,z+1/2'
'x+1/2,y,-z+1/2'
'y+1/4,-x+1/4,z+3/4'
'-y+1/4,x+1/4,-z+3/4'
'x,-y,-z'
'-x,y,z'
'-y+1/4,-x+1/4,-z+3/4'
'y+1/4,x+1/4,z+3/4'
'-x+1/2,y,-z+1/2'
'x+1/2,-y,z+1/2'
'y+1/4,x+3/4,-z+1/4'
'-y+1/4,-x+3/4,z+1/4'
'x+1/2,y+1/2,z+1/2'
'-x+1/2,-y+1/2,-z+1/2'
'-y+3/4,x+1/4,z+3/4'
'y+3/4,-x+1/4,-z+3/4'
'-x,-y+1/2,z'
'x,y+1/2,-z'
'y+3/4,-x+3/4,z+1/4'
'-y+3/4,x+3/4,-z+1/4'
'x+1/2,-y+1/2,-z+1/2'
'-x+1/2,y+1/2,z+1/2'
'-y+3/4,-x+3/4,-z+1/4'
'y+3/4,x+3/4,z+1/4'
'-x,y+1/2,-z'
'x,-y+1/2,z'
'y+3/4,x+1/4,-z+3/4'
'-y+3/4,-x+1/4,z+3/4'
loop_
_atom_site_label
_atom_site_fract_x
_atom_site_fract_y
_atom_site_fract_z
_atom_site_occupancy
K1 0.000 0.250 0.375 1
Si1 0.000 0.000 0.000 1
Sn1 0.000 0.250 0.875 1
```


[8]
Computed, not measured: Cs2Pb2Br5 after structural relaxation at the PBE level of DFT.

For the density of states at the Fermi level, the calculation gives 2.23 states/eV/cell. The offset from the most stable computed form is 0 meV per atom. For the energy relative to the elements, uncorrected, the calculation gives -1.19 eV per atom. The calculation puts the calculated volume at 360.1 Å³/f.u. As for the crystal system: tetragonal.

```
data_Cs2Pb2Br5
_symmetry_space_group_name_H-M 'P 4/m m m'
_symmetry_Int_Tables_number 123
_symmetry_space_group_name_Hall '-P 4 2'
_cell_length_a 6.079
_cell_length_b 6.079
_cell_length_c 9.742
_cell_angle_alpha 90.00
_cell_angle_beta 90.00
_cell_angle_gamma 90.00
loop_
_atom_site_label
_atom_site_fract_x
_atom_site_fract_y
_atom_site_fract_z
_atom_site_occupancy
Cs1 0.000 0.000 0.000 1
Cs2 0.000 0.000 0.500 1
Pb1 0.500 0.500 0.191 1
Br1 0.000 0.500 0.220 1
Br2 0.500 0.500 0.500 1
```


[9]
Computed, not measured: Ba2TlSe3 after structural relaxation at the PBE level of DFT.

For the density of states at the Fermi level, the calculation gives 17.99 states/eV/cell. For the energy relative to the elements, uncorrected, the calculation gives -1.38 eV per atom. The calculation puts the calculated volume at 211.6 Å³/f.u. As for the crystal system: monoclinic.

```
data_Ba2TlSe3
_symmetry_space_group_name_H-M 'C 1 2/c 1'
_symmetry_Int_Tables_number 15
_cell_length_a 14.630
_cell_length_b 6.528
_cell_length_c 9.356
_cell_angle_alpha 90.00
_cell_angle_beta 108.66
_cell_angle_gamma 90.00
loop_
_symmetry_equiv_pos_as_xyz
'x,y,z'
'-x,-y,-z'
'-x,y,-z+1/2'
'x,-y,z+1/2'
'x+1/2,y+1/2,z'
'-x+1/2,-y+1/2,-z'
'-x+1/2,y+1/2,-z+1/2'
'x+1/2,-y+1/2,z+1/2'
loop_
_atom_site_label
_atom_site_fract_x
_atom_site_fract_y
_atom_site_fract_z
_atom_site_occupancy
Ba1 0.167 0.001 0.084 1
Tl1 0.000 0.481 0.750 1
Se1 0.000 0.018 0.750 1
Se2 0.162 0.499 0.581 1
```


[10]
Computed, not measured: CrInRe2 after structural relaxation at the PBE level of DFT.

For the density of states at the Fermi level, the calculation gives 3.61 states/eV/cell. The value obtained for the energy of formation from the pure elements is 0.4454 eV per atom. The calculation puts the calculated volume at 63.0 Å³/f.u. As for the crystal system: monoclinic.

```
data_CrInRe2
_symmetry_space_group_name_H-M 'P 1 2/m 1'
_symmetry_Int_Tables_number 10
_cell_length_a 2.803
_cell_length_b 4.028
_cell_length_c 5.633
_cell_angle_alpha 90.00
_cell_angle_beta 97.89
_cell_angle_gamma 90.00
loop_
_symmetry_equiv_pos_as_xyz
'x,y,z'
'-x,-y,-z'
'-x,y,-z'
'x,-y,z'
loop_
_atom_site_label
_atom_site_fract_x
_atom_site_fract_y
_atom_site_fract_z
_atom_site_occupancy
Cr1 0.000 0.000 0.000 1
In1 0.000 0.000 0.500 1
Re1 0.402 0.500 0.214 1
```